Entry 1:
RbMg2InF8 | PBE-GGA | optimized geometry

Results
Space-group type: P-1
ΔE_f (raw) in kJ per mole of atoms: -292
Mass density in Mg/m³: 3.363

a b c (Å): 5.2964 5.3217 7.5472
angles (deg): 77.03 77.25 75.89
Closest atoms and distances in Å follow each position.
Atoms (fractional coordinates):
Rb 0.0000 0.0000 0.5000  6 F 2.73-2.96
Mg 0.4561 0.4547 0.7174  5 F 1.96-2.03
Mg 0.5439 0.5453 0.2826  5 F 1.96-2.03
In 0.0000 0.0000 0.0000  6 F 2.06-2.14
F 0.2126 0.7479 0.2054  1 Mg 1.96, 1 In 2.14
F 0.7359 0.7506 0.0699  1 Mg 1.96, 1 In 2.06
F 0.7575 0.2225 0.2014  1 Mg 1.96, 1 In 2.14
F 0.7874 0.2521 0.7946  1 Mg 1.96, 1 In 2.14
F 0.2641 0.2494 0.9301  1 Mg 1.96, 1 In 2.06
F 0.2425 0.7775 0.7986  1 Mg 1.96, 1 In 2.14
F 0.6442 0.6573 0.4859  2 Mg 1.98-2.03
F 0.3558 0.3427 0.5141  2 Mg 1.98-2.03

***

Entry 2:
CaTaSb2 | PBE-GGA | optimized geometry

Results
Space-group type: I-42d
ΔE_f (raw) in kJ per mole of atoms: 3
Mass density in Mg/m³: 7.035

a b c (Å): 7.9565 7.9565 6.6072
angles (deg): 52.98 52.98 90.00
Closest atoms and distances in Å follow each position.
Atoms (fractional coordinates):
Sb 0.6601 0.1250 0.2500  2 Ta 2.76
Sb 0.0899 0.6250 0.2500  2 Ta 2.76
Sb 0.3750 0.3399 0.7500  2 Ta 2.76
Sb 0.8750 0.9101 0.7500  2 Ta 2.76
Ca 0.5000 0.5000 0.0000  4 Sb 3.14, 2 Ta 3.46
Ca 0.2500 0.7500 0.5000  4 Sb 3.14, 2 Ta 3.46
Ta 0.0000 0.0000 0.0000  4 Sb 2.76
Ta 0.7500 0.2500 0.5000  4 Sb 2.76

***

Entry 3:
TaPt2 | PBE-GGA | optimized geometry

Results
Energy relative to the elements in eV/atom: -0.54
Space-group type: I4_1/amd
Mass density in Mg/m³: 18.696

a b c (Å): 12.6540 12.6540 12.6540
angles (deg): 167.07 167.07 18.33
Closest atoms and distances in Å follow each position.
Atoms (fractional coordinates):
Ta 0.7500 0.2500 0.5000  8 Pt 2.78, 4 Ta 2.85
Ta 0.0000 0.0000 0.0000  8 Pt 2.78, 4 Ta 2.85
Pt 0.5765 0.5765 0.0000  4 Ta 2.78, 6 Pt 2.81-2.85
Pt 0.4235 0.4235 0.0000  4 Ta 2.78, 6 Pt 2.81-2.85
Pt 0.3265 0.8265 0.5000  4 Ta 2.78, 6 Pt 2.81-2.85
Pt 0.1735 0.6735 0.5000  4 Ta 2.78, 6 Pt 2.81-2.85

***

Entry 4:
Ca2OsW | PBE-GGA | optimized geometry

Results
Energy relative to the elements in eV/atom: 0.84
Space-group type: C2/m
Mass density in Mg/m³: 9.678

a b c (Å): 5.6788 5.7517 2.8470
angles (deg): 83.90 73.37 115.01
Closest atoms and distances in Å follow each position.
Atoms (fractional coordinates):
Ca 0.0000 0.0000 0.0000  4 Ca 2.79-2.85, 2 W 3.07, 2 Os 3.07
Ca 0.5000 0.0000 0.5000  4 Ca 2.79-2.85, 2 Os 3.07, 2 W 3.07
Os 0.0000 0.5000 0.5000  2 W 2.79, 2 Os 2.85, 4 Ca 3.07
W 0.5000 0.5000 0.0000  2 Os 2.79, 2 W 2.85, 4 Ca 3.07

***

Entry 5:
LiScTeRu2 | PBE-GGA | optimized geometry

Results
Space-group type: P4/mmm
ΔE_f (raw) in kJ per mole of atoms: 88
Mass density in Mg/m³: 5.116

a b c (Å): 4.7265 5.5444 4.7265
angles (deg): 90.00 90.00 90.00
Closest atoms and distances in Å follow each position.
Atoms (fractional coordinates):
Sc 0.0000 0.0000 0.0000  4 Ru 2.36
Ru 0.0000 0.0000 0.5000  2 Sc 2.36
Ru 0.5000 0.0000 0.0000  2 Sc 2.36
Te 0.0000 0.5000 0.0000  2 Sc 2.77
Li 0.5000 0.5000 0.5000  4 Te 3.34, 8 Ru 3.64

***

Entry 6:
MnSnIrSe | PBE-GGA | optimized geometry

Results
Space-group type: Cm
ΔE_f (raw) in kJ per mole of atoms: -8
Mass density in Mg/m³: 9.340

a b c (Å): 5.3355 3.9955 7.4889
angles (deg): 90.00 97.80 90.00
Closest atoms and distances in Å follow each position.
Atoms (fractional coordinates):
Mn 0.1101 0.0000 0.7642  3 Se 2.56-2.64, 2 Ir 2.69-2.71
Mn 0.1101 0.5000 0.2642  3 Se 2.56-2.64, 2 Ir 2.69-2.71
Sn 0.4158 0.0000 0.1171  3 Ir 2.63-2.65, 3 Mn 2.89-2.91
Sn 0.4158 0.5000 0.6171  3 Ir 2.63-2.65, 3 Mn 2.89-2.91
Ir 0.6222 0.0000 0.8174  2 Se 2.61, 3 Sn 2.63-2.65, 2 Mn 2.69-2.71
Ir 0.6222 0.5000 0.3174  2 Se 2.61, 3 Sn 2.63-2.65, 2 Mn 2.69-2.71
Se 0.9166 0.0000 0.4322  3 Mn 2.56-2.64, 2 Ir 2.61
Se 0.9166 0.5000 0.9322  3 Mn 2.56-2.64, 2 Ir 2.61